Record 1
A plane-wave DFT calculation with PBE-GGA was carried out for a relaxed Mg5Cu3H12 crystal.

Unit cell a=9.8502 b=9.8502 c=9.8502 alpha=109.47 beta=109.47 gamma=109.47
Last column: nearest neighbours and their distance in Å.
Atoms (fractional coordinates):
Mg1 0.0000 0.0000 0.0000  6 H 1.95
Mg2 0.0000 0.0000 0.5000  6 H 1.95
Mg3 0.0000 0.5000 0.0000  6 H 1.95
Mg4 0.0000 0.5000 0.5000  6 H 1.95
Mg5 0.1250 0.7500 0.8750  8 H 2.04-2.24
Mg6 0.1250 0.8750 0.2500  8 H 2.04-2.24
Mg7 0.2500 0.1250 0.8750  8 H 2.04-2.24
Mg8 0.2500 0.6250 0.3750  8 H 2.04-2.24
Mg9 0.3750 0.2500 0.6250  8 H 2.04-2.24
Mg10 0.3750 0.6250 0.7500  8 H 2.04-2.24
Mg11 0.5000 0.0000 0.0000  6 H 1.95
Mg12 0.5000 0.0000 0.5000  6 H 1.95
Mg13 0.5000 0.5000 0.0000  6 H 1.95
Mg14 0.5000 0.5000 0.5000  6 H 1.95
Mg15 0.6250 0.3750 0.2500  8 H 2.04-2.24
Mg16 0.6250 0.7500 0.3750  8 H 2.04-2.24
Mg17 0.7500 0.3750 0.6250  8 H 2.04-2.24
Mg18 0.7500 0.8750 0.1250  8 H 2.04-2.24
Mg19 0.8750 0.1250 0.7500  8 H 2.04-2.24
Mg20 0.8750 0.2500 0.1250  8 H 2.04-2.24
Cu1 0.1250 0.2500 0.3750  4 H 1.70
Cu2 0.1250 0.3750 0.7500  4 H 1.70
Cu3 0.2500 0.3750 0.1250  4 H 1.70
Cu4 0.2500 0.8750 0.6250  4 H 1.70
Cu5 0.3750 0.1250 0.2500  4 H 1.70
Cu6 0.3750 0.7500 0.1250  4 H 1.70
Cu7 0.6250 0.2500 0.8750  4 H 1.70
Cu8 0.6250 0.8750 0.7500  4 H 1.70
Cu9 0.7500 0.1250 0.3750  4 H 1.70
Cu10 0.7500 0.6250 0.8750  4 H 1.70
Cu11 0.8750 0.6250 0.2500  4 H 1.70
Cu12 0.8750 0.7500 0.6250  4 H 1.70
H1 0.0375 0.6407 0.2172  1 Cu 1.70
H2 0.0375 0.8968 0.8203  1 Cu 1.70
H3 0.0765 0.1797 0.7172  1 Cu 1.70
H4 0.0765 0.3968 0.3593  1 Cu 1.70
H5 0.1032 0.1797 0.9625  1 Cu 1.70
H6 0.1032 0.4235 0.1407  1 Cu 1.70
H7 0.1407 0.1032 0.4235  1 Cu 1.70
H8 0.1407 0.5375 0.7172  1 Cu 1.70
H9 0.1797 0.7172 0.0765  1 Cu 1.70
H10 0.1797 0.9625 0.1032  1 Cu 1.70
H11 0.2172 0.0375 0.6407  1 Cu 1.70
H12 0.2172 0.6797 0.5765  1 Cu 1.70
H13 0.2828 0.8593 0.4625  1 Cu 1.70
H14 0.2828 0.9235 0.8203  1 Cu 1.70
H15 0.3203 0.3968 0.5375  1 Cu 1.70
H16 0.3203 0.4235 0.7828  1 Cu 1.70
H17 0.3593 0.0765 0.3968  1 Cu 1.70
H18 0.3593 0.7828 0.9625  1 Cu 1.70
H19 0.3968 0.3593 0.0765  1 Cu 1.70
H20 0.3968 0.5375 0.3203  1 Cu 1.70
H21 0.4235 0.1407 0.1032  1 Cu 1.70
H22 0.4235 0.7828 0.3203  1 Cu 1.70
H23 0.4625 0.2828 0.8593  1 Cu 1.70
H24 0.4625 0.6797 0.6032  1 Cu 1.70
H25 0.5375 0.3203 0.3968  1 Cu 1.70
H26 0.5375 0.7172 0.1407  1 Cu 1.70
H27 0.5765 0.2172 0.6797  1 Cu 1.70
H28 0.5765 0.8593 0.8968  1 Cu 1.70
H29 0.6032 0.4625 0.6797  1 Cu 1.70
H30 0.6032 0.6407 0.9235  1 Cu 1.70
H31 0.6407 0.2172 0.0375  1 Cu 1.70
H32 0.6407 0.9235 0.6032  1 Cu 1.70
H33 0.6797 0.5765 0.2172  1 Cu 1.70
H34 0.6797 0.6032 0.4625  1 Cu 1.70
H35 0.7172 0.0765 0.1797  1 Cu 1.70
H36 0.7172 0.1407 0.5375  1 Cu 1.70
H37 0.7828 0.3203 0.4235  1 Cu 1.70
H38 0.7828 0.9625 0.3593  1 Cu 1.70
H39 0.8203 0.0375 0.8968  1 Cu 1.70
H40 0.8203 0.2828 0.9235  1 Cu 1.70
H41 0.8593 0.4625 0.2828  1 Cu 1.70
H42 0.8593 0.8968 0.5765  1 Cu 1.70
H43 0.8968 0.5765 0.8593  1 Cu 1.70
H44 0.8968 0.8203 0.0375  1 Cu 1.70
H45 0.9235 0.6032 0.6407  1 Cu 1.70
H46 0.9235 0.8203 0.2828  1 Cu 1.70
H47 0.9625 0.1032 0.1797  1 Cu 1.70
H48 0.9625 0.3593 0.7828  1 Cu 1.70

Values from the calculation:
spin magnetization = 0.00 μB per formula unit
Fermi-level density of states = 0.02 states/eV per atom
total energy = -3.01 eV/atom
space-group type = No. 230

Record 2
A plane-wave DFT calculation with PBE-GGA was carried out for a relaxed Cd6NiAg2 crystal.

Unit cell a=7.7293 b=7.7293 c=4.5282 alpha=104.21 beta=104.21 gamma=52.36
Last column: nearest neighbours and their distance in Å.
Atoms (fractional coordinates):
Cd1 0.0783 0.6039 0.3540  1 Ni 2.67, 3 Ag 2.89
Cd2 0.2177 0.7823 0.0000  2 Ni 2.71, 2 Ag 2.90, 1 Cd 2.97
Cd3 0.3961 0.9217 0.6460  1 Ni 2.67, 3 Ag 2.89
Cd4 0.6039 0.0783 0.3540  1 Ni 2.67, 3 Ag 2.89
Cd5 0.7823 0.2177 0.0000  2 Ni 2.71, 2 Ag 2.90, 1 Cd 2.97
Cd6 0.9217 0.3961 0.6460  1 Ni 2.67, 3 Ag 2.89
Ni1 0.0000 0.0000 0.5000  8 Cd 2.67-2.71
Ag1 0.3378 0.3378 0.8511  8 Cd 2.89-2.90
Ag2 0.6622 0.6622 0.1489  8 Cd 2.89-2.90

Values from the calculation:
spin magnetization = 0.00 μB per formula unit
Fermi-level density of states = 0.37 states/eV per atom
energy above the lowest structure with this stoichiometry = 53 meV/atom
energy of formation from the pure elements = 0.06 eV/atom
total energy = -1.82 eV/atom
space-group type = No. 12

Record 3
A plane-wave DFT calculation with PBE-GGA was carried out for a relaxed K4Np3AlSe8 crystal.

Unit cell a=9.0302 b=9.0302 c=9.0302 alpha=55.61 beta=55.61 gamma=55.61
Last column: nearest neighbours and their distance in Å.
Atoms (fractional coordinates):
K1 0.0000 0.0000 0.0000  6 Se 3.47
K2 0.0000 0.5000 0.5000  6 Se 3.30-3.31
K3 0.5000 0.0000 0.5000  6 Se 3.30-3.31
K4 0.5000 0.5000 0.0000  6 Se 3.30-3.31
Np1 0.0000 0.0000 0.5000  6 Se 2.90-2.92
Np2 0.0000 0.5000 0.0000  6 Se 2.90-2.92
Np3 0.5000 0.0000 0.0000  6 Se 2.90-2.92
Al1 0.5000 0.5000 0.5000  6 Se 2.72
Se1 0.2357 0.2357 0.2357  3 Np 2.90
Se2 0.2523 0.7212 0.7212  1 Al 2.72, 2 Np 2.92
Se3 0.2788 0.2788 0.7477  1 Al 2.72, 2 Np 2.92
Se4 0.2788 0.7477 0.2788  1 Al 2.72, 2 Np 2.92
Se5 0.7212 0.2523 0.7212  1 Al 2.72, 2 Np 2.92
Se6 0.7212 0.7212 0.2523  1 Al 2.72, 2 Np 2.92
Se7 0.7477 0.2788 0.2788  1 Al 2.72, 2 Np 2.92
Se8 0.7643 0.7643 0.7643  3 Np 2.90

Values from the calculation:
raw formation energy = -1.154 eV per atom
spin magnetization = 11.88 μB per formula unit
Fermi-level density of states = 1.69 states/eV per atom
total energy = -5.83 eV/atom
space-group type = No. 166

Record 4
A plane-wave DFT calculation with PBE-GGA was carried out for a relaxed La3Ru crystal.

Unit cell a=5.5893 b=5.5893 c=5.5893 alpha=90.00 beta=90.00 gamma=90.00
Last column: nearest neighbours and their distance in Å.
Atoms (fractional coordinates):
La1 0.0000 0.0000 0.5000  2 Ru 2.79
La2 0.0000 0.5000 0.0000  2 Ru 2.79
La3 0.5000 0.0000 0.0000  2 Ru 2.79
Ru1 0.0000 0.0000 0.0000  6 La 2.79

Values from the calculation:
spin magnetization = 0.00 μB per formula unit
Fermi-level density of states = 0.94 states/eV per atom
energy of formation from the pure elements = 0.11 eV/atom
total energy = -5.91 eV/atom
space-group type = No. 221

Record 5
A plane-wave DFT calculation with PBE-GGA was carried out for a relaxed CsZnPb3 crystal.

Unit cell a=5.7075 b=5.7075 c=5.7075 alpha=90.00 beta=90.00 gamma=90.00
Last column: nearest neighbours and their distance in Å.
Atoms (fractional coordinates):
Cs1 0.0000 0.0000 0.0000  12 Pb 4.04
Zn1 0.5000 0.5000 0.5000  6 Pb 2.85
Pb1 0.0000 0.5000 0.5000  2 Zn 2.85
Pb2 0.5000 0.0000 0.5000  2 Zn 2.85
Pb3 0.5000 0.5000 0.0000  2 Zn 2.85

Values from the calculation:
spin magnetization = 0.00 μB per formula unit
Fermi-level density of states = 0.75 states/eV per atom
energy above the lowest structure with this stoichiometry = 205 meV/atom
energy of formation from the pure elements = 0.14 eV/atom
total energy = -2.51 eV/atom
space-group type = No. 221

Record 6
A plane-wave DFT calculation with PBE-GGA was carried out for a relaxed ZrSnTeO6 crystal.

Unit cell a=5.4991 b=5.4991 c=10.3877 alpha=90.00 beta=90.00 gamma=120.00
Last column: nearest neighbours and their distance in Å.
Atoms (fractional coordinates):
Zr1 0.3333 0.6667 0.2500  6 O 2.14
Zr2 0.6667 0.3333 0.7500  6 O 2.14
Sn1 0.0000 0.0000 0.0000  6 O 2.55
Sn2 0.0000 0.0000 0.5000  6 O 2.55
Te1 0.3333 0.6667 0.7500  6 O 1.96
Te2 0.6667 0.3333 0.2500  6 O 1.96
O1 0.0231 0.3871 0.6441  1 Te 1.96, 1 Zr 2.14
O2 0.0231 0.6360 0.8559  1 Te 1.96, 1 Zr 2.14
O3 0.3640 0.3871 0.8559  1 Te 1.96, 1 Zr 2.14
O4 0.3640 0.9769 0.6441  1 Te 1.96, 1 Zr 2.14
O5 0.3871 0.0231 0.1441  1 Te 1.96, 1 Zr 2.14
O6 0.3871 0.3640 0.3559  1 Te 1.96, 1 Zr 2.14
O7 0.6129 0.6360 0.6441  1 Te 1.96, 1 Zr 2.14
O8 0.6129 0.9769 0.8559  1 Te 1.96, 1 Zr 2.14
O9 0.6360 0.0231 0.3559  1 Te 1.96, 1 Zr 2.14
O10 0.6360 0.6129 0.1441  1 Te 1.96, 1 Zr 2.14
O11 0.9769 0.3640 0.1441  1 Te 1.96, 1 Zr 2.14
O12 0.9769 0.6129 0.3559  1 Te 1.96, 1 Zr 2.14

Values from the calculation:
raw formation energy = -1.770 eV per atom
spin magnetization = 0.00 μB per formula unit
total energy = -6.82 eV/atom
space-group type = No. 163

Record 7
A plane-wave DFT calculation with PBE-GGA was carried out for a relaxed Pr7TcCl12 crystal.

Unit cell a=9.3876 b=9.3876 c=9.3876 alpha=106.66 beta=106.66 gamma=106.66
Last column: nearest neighbours and their distance in Å.
Atoms (fractional coordinates):
Pr1 0.0000 0.0000 0.0000  6 Cl 2.78
Pr2 0.1856 0.3897 0.4873  1 Tc 2.79, 4 Cl 2.87-3.04
Pr3 0.3897 0.4873 0.1856  1 Tc 2.79, 4 Cl 2.87-3.04
Pr4 0.4873 0.1856 0.3897  1 Tc 2.79, 4 Cl 2.87-3.04
Pr5 0.5127 0.8144 0.6103  1 Tc 2.79, 4 Cl 2.87-3.04
Pr6 0.6103 0.5127 0.8144  1 Tc 2.79, 4 Cl 2.87-3.04
Pr7 0.8144 0.6103 0.5127  1 Tc 2.79, 4 Cl 2.87-3.04
Tc1 0.5000 0.5000 0.5000  6 Pr 2.79
Cl1 0.0435 0.3235 0.1286  3 Pr 2.78-3.04
Cl2 0.1286 0.0435 0.3235  3 Pr 2.78-3.04
Cl3 0.1842 0.7077 0.5850  3 Pr 2.87-3.13
Cl4 0.2923 0.4150 0.8158  3 Pr 2.87-3.13
Cl5 0.3235 0.1286 0.0435  3 Pr 2.78-3.04
Cl6 0.4150 0.8158 0.2923  3 Pr 2.87-3.13
Cl7 0.5850 0.1842 0.7077  3 Pr 2.87-3.13
Cl8 0.6765 0.8714 0.9565  3 Pr 2.78-3.04
Cl9 0.7077 0.5850 0.1842  3 Pr 2.87-3.13
Cl10 0.8158 0.2923 0.4150  3 Pr 2.87-3.13
Cl11 0.8714 0.9565 0.6765  3 Pr 2.78-3.04
Cl12 0.9565 0.6765 0.8714  3 Pr 2.78-3.04

Values from the calculation:
raw formation energy = -1.833 eV per atom
spin magnetization = 1.96 μB per formula unit
Fermi-level density of states = 0.40 states/eV per atom
total energy = -5.13 eV/atom
space-group type = No. 148

Record 8
A plane-wave DFT calculation with PBE-GGA was carried out for a relaxed RbTe2PCl crystal.

Unit cell a=7.1927 b=7.1927 c=6.7769 alpha=90.00 beta=90.00 gamma=90.00
Last column: nearest neighbours and their distance in Å.
Atoms (fractional coordinates):
Rb1 0.0000 0.0000 0.0000  2 P 3.39, 4 Te 3.60
Te1 0.0000 0.5000 0.0000  2 Rb 3.60
Te2 0.5000 0.0000 0.0000  2 Rb 3.60
P1 0.0000 0.0000 0.5000  2 Rb 3.39
Cl1 0.5000 0.5000 0.5000  8 Te 4.94, 4 P 5.09

Values from the calculation:
raw formation energy = 1.123 eV per atom
spin magnetization = 7.00 μB per formula unit
Fermi-level density of states = 0.63 states/eV per atom
total energy = -1.78 eV/atom
space-group type = No. 123